VASP calculation (PBE-GGA) on a relaxed ZnHg2Mo crystal.

E: -19.5 eV per cell
Energy of formation: 17.0 kcal/mol of atoms
Total moment: 0.9 μB per formula unit
Density of states at the Fermi level: 4.67 states/eV per cell

The structure in extended XYZ format:
```
8
Lattice="-1.2866 -3.5709 -1.3222 1.4107 0.8493 -3.6665 8.8753 -5.4417 -0.0488" Properties=species:S:1:pos:R:3 pbc="T T T"
Zn 0.0621 -1.3608 -2.4944
Zn 5.1740 -2.9766 -3.1048
Mo 0.0000 0.0000 0.0000
Mo 3.8254 -5.1867 -1.9327
Hg 1.5916 -3.4847 -1.2964
Hg 2.9392 -1.2773 -2.4696
Hg 6.7036 -5.1015 -1.9088
Hg 6.7645 -6.4630 -4.4003
```